## Ta2ZnCo (PBE-GGA)

Data for a relaxed Ta2ZnCo crystal.

Cell lengths 8.467, 8.467, 8.467 Å; angles 20.41, 20.41, 20.41 degrees
Element x y z (fractional)
Ta  0.000  0.000  0.000
Ta  0.240  0.240  0.240
Zn  0.483  0.483  0.483
Co  0.739  0.739  0.739

Calculated values
total magnetic moment	0.4	μB per cell
total DFT energy (no corrections)	-31.39	eV per cell